Compound: LiYPb
Source: Alexandria
Functional: PBE-GGA
Structure: relaxed

Output
The energy of formation from the pure elements is -537 meV per atom. Its space-group type is No. 194.

Unit cell a=8.2486 b=7.3847 c=4.7670 alpha=90.00 beta=90.00 gamma=90.00
Sites, in units of the cell vectors:
Li1 0.1667 0.2500 0.5001
Pb1 0.8333 0.2500 0.4999
Pb2 0.1667 0.7500 0.5001
Li2 0.8333 0.7500 0.4999
Pb3 0.3333 0.2500 0.0001
Y1 0.5000 0.5000 0.5000
Y2 0.0000 0.5000 0.0000
Li3 0.3333 0.7500 0.0001
Y3 0.5000 0.0000 0.5000
Pb4 0.6667 0.7500 0.9999
Y4 0.0000 0.0000 0.0000
Li4 0.6667 0.2500 0.9999